Record 1
# PBE ZrMnCo2Ge, optimized geometry
# Final energy in eV/f.u.: -34.162
# D(E_F) in states/eV per cell: 5.26
data_ZrMnCo2Ge
_symmetry_space_group_name_H-M 'P 4/m m m'
_symmetry_Int_Tables_number 123
_symmetry_space_group_name_Hall '-P 4 2'
_cell_length_a 4.174
_cell_length_b 4.174
_cell_length_c 4.341
_cell_angle_alpha 90.00
_cell_angle_beta 90.00
_cell_angle_gamma 90.00
loop_
_atom_site_label
_atom_site_type_symbol
_atom_site_fract_x
_atom_site_fract_y
_atom_site_fract_z
_atom_site_occupancy
Zr1 Zr 0.000 0.000 0.000 1
Mn1 Mn 0.500 0.500 0.500 1
Co1 Co 0.000 0.500 0.500 1
Ge1 Ge 0.500 0.500 0.000 1



Record 2
# PBE K3La2DyS6, optimized geometry
# D(E_F) in states/eV per cell: 0.00
# Raw formation energy in eV per atom: -1.91
data_K3La2DyS6
_symmetry_space_group_name_H-M 'C 1 2/m 1'
_symmetry_Int_Tables_number 12
_cell_length_a 7.299
_cell_length_b 12.644
_cell_length_c 7.767
_cell_angle_alpha 90.00
_cell_angle_beta 108.28
_cell_angle_gamma 90.00
loop_
_symmetry_equiv_pos_as_xyz
'x,y,z'
'-x,-y,-z'
'-x,y,-z'
'x,-y,z'
'x+1/2,y+1/2,z'
'-x+1/2,-y+1/2,-z'
'-x+1/2,y+1/2,-z'
'x+1/2,-y+1/2,z'
loop_
_atom_site_label
_atom_site_type_symbol
_atom_site_fract_x
_atom_site_fract_y
_atom_site_fract_z
_atom_site_occupancy
K1 K 0.000 0.000 0.000 1
K2 K 0.000 0.333 0.000 1
La1 La 0.000 0.167 0.500 1
Dy1 Dy 0.000 0.500 0.500 1
S1 S 0.229 0.339 0.706 1
S2 S 0.247 0.000 0.705 1